Here is a crystal of InSbCl relaxed with PBEsol from Alexandria via LeMat-Bulk. Energies are from SCAN.

a b c (Å): 3.2683 3.2683 13.9965
angles (deg): 90.00 90.00 90.00
Last column: nearest neighbours and their distance in Å.
Space group I4mm (No. 107)
One atom of each set of equivalent atoms:
In (0.0000, 0.0000, 0.0000) x2  4 Cl 2.91
Sb (0.0000, 0.0000, 0.6690) x2  4 Sb 3.27, 4 In 3.31
Cl (0.0000, 0.0000, 0.3733) x2  4 In 2.91

E_form (uncorrected)   -206.4 meV per atom
Calculated density   6.04 Mg/m³
E_tot   -26.41 eV/atom